Record 1
BeInTe2 after structural relaxation, computed with PBE.

Structure (CIF):
```
data_BeInTe2
_chemical_formula_sum 'Be1 In1 Te2'
_space_group_name_H-M_alt 'P 4 m m'
_space_group_IT_number 99
_cell_length_a 3.304
_cell_length_b 3.304
_cell_length_c 9.826
_cell_angle_alpha 90.00
_cell_angle_beta 90.00
_cell_angle_gamma 90.00
loop_
_space_group_symop_operation_xyz
'x,y,z'
'-y,x,z'
'-x,-y,z'
'y,-x,z'
'-x,y,z'
'y,x,z'
'x,-y,z'
'-y,-x,z'
loop_
_atom_site_label
_atom_site_type_symbol
_atom_site_fract_x
_atom_site_fract_y
_atom_site_fract_z
_atom_site_occupancy
Be1 Be 0.000 0.000 0.000 1
In1 In 0.500 0.500 0.234 1
Te1 Te 0.000 0.000 0.517 1
Te2 Te 0.500 0.500 0.888 1
```

Output
The value obtained for the raw total energy is -11.49 eV/cell. The value obtained for the energy relative to the elements, uncorrected is 1.25 eV per formula unit. The value obtained for the energy above the most stable polymorph in this dataset is 189 kJ/mol of formula units.

---

Record 2
ErSc2HgN after structural relaxation, computed with PBE.

Structure (CIF):
```
data_ErSc2HgN
_chemical_formula_sum 'Er1 Sc2 Hg1 N1'
_space_group_name_H-M_alt 'P 4/m m m'
_space_group_IT_number 123
_space_group_name_Hall '-P 4 2'
_cell_length_a 4.481
_cell_length_b 4.481
_cell_length_c 4.713
_cell_angle_alpha 90.00
_cell_angle_beta 90.00
_cell_angle_gamma 90.00
loop_
_atom_site_label
_atom_site_type_symbol
_atom_site_fract_x
_atom_site_fract_y
_atom_site_fract_z
_atom_site_occupancy
Er1 Er 0.000 0.000 0.000 1
Sc1 Sc 0.000 0.500 0.500 1
Hg1 Hg 0.500 0.500 0.000 1
N1 N 0.000 0.000 0.500 1
```

Output
The value obtained for the raw total energy is -31.00 eV/cell. The value obtained for the energy relative to the elements, uncorrected is -5.15 eV per formula unit.

---

Record 3
KNaCa after structural relaxation, computed with PBE.

Structure (CIF):
```
data_KNaCa
_chemical_formula_sum 'K4 Na4 Ca4'
_space_group_name_H-M_alt 'C 1 2/m 1'
_space_group_IT_number 12
_cell_length_a 10.976
_cell_length_b 6.323
_cell_length_c 8.501
_cell_angle_alpha 90.00
_cell_angle_beta 90.08
_cell_angle_gamma 90.00
loop_
_space_group_symop_operation_xyz
'x,y,z'
'-x,-y,-z'
'-x,y,-z'
'x,-y,z'
'x+1/2,y+1/2,z'
'-x+1/2,-y+1/2,-z'
'-x+1/2,y+1/2,-z'
'x+1/2,-y+1/2,z'
loop_
_atom_site_label
_atom_site_type_symbol
_atom_site_fract_x
_atom_site_fract_y
_atom_site_fract_z
_atom_site_occupancy
K1 K 0.167 0.000 0.102 1
Na1 Na 0.000 0.500 0.297 1
Ca1 Ca 0.167 0.000 0.579 1
```

Output
The value obtained for the raw total energy is -16.26 eV/cell. The value obtained for the energy above the most stable polymorph in this dataset is 3 kJ/mol of formula units. Its formation enthalpy at 0 K is 0.118 eV per atom.

---

Q: Which of these has the highest raw total energy?
A: BeInTe2

---

Q: Look up the raw total energy of the first one.
A: -11.49 eV/cell

---

Q: What is the raw total energy in the third record?
A: -16.26 eV/cell